{
  "formula": "V2BiHO",
  "functional": "PBE with a Hubbard U",
  "state": "optimized geometry",
  "lattice": [[-1.426, 2.907, 2.041], [0.860, -2.803, 4.594], [3.501, 1.524, 0.275]],
  "species": ["H", "Bi", "O", "V", "V"],
  "fractional_positions": [[0.000, 0.000, 0.000], [0.500, 0.500, 0.500], [0.000, 0.500, 0.000], [0.000, 0.000, 0.500], [0.500, 0.000, 0.000]],
  "total_energy_ev_per_atom": -4.778,
  "spacegroup": "No. 123"
}